[1]
YMgIn | GGA-PBEsol | optimized geometry

Unit cell a=3.383 b=4.691 c=9.451 alpha=90.00 beta=90.00 gamma=90.00
Space group Imm2 (No. 44)
Symmetry-distinct sites (fractional):
Y 0.000 0.000 0.000 x2
Mg 0.000 0.000 0.333 x2
In 0.000 0.000 0.662 x2

Results
* size of the total moment: 0.000 μB/cell
* DFT total energy: -12.1 eV/f.u.
* V: 150.0 Å³ per cell

---

[2]
MgZnIn2 | GGA-PBEsol | optimized geometry

Unit cell a=4.381 b=4.381 c=8.771 alpha=90.00 beta=90.00 gamma=90.00
Space group I4/mmm (No. 139)
Symmetry-distinct sites (fractional):
Mg 0.000 0.000 0.000 x2
Zn 0.000 0.000 0.500 x2
In 0.000 0.500 0.250 x4

Results
* size of the total moment: 0.000 μB/cell
* V: 168.3 Å³ per cell
* E above lowest polymorph: 0.007 eV per atom

---

[3]
MgZnIn2 | GGA-PBEsol | optimized geometry

Unit cell a=3.3140 b=3.3140 c=27.3612 alpha=90.00 beta=90.00 gamma=120.00
Space group R3m (No. 160, hexagonal axes)
Symmetry-distinct sites (fractional):
Mg 0.0000 0.0000 0.0000 x3
Zn 0.0000 0.0000 0.2586 x3
In 0.0000 0.0000 0.5140 x3
In 0.0000 0.0000 0.7556 x3

Results
* size of the total moment: 0.000 μB/cell
* V: 260.2 Å³ per cell
* E above lowest polymorph: 0.036 eV per atom

---

[4]
MgZnIn2 | GGA-PBEsol | optimized geometry

Unit cell a=3.226 b=4.217 c=6.210 alpha=90.00 beta=90.00 gamma=90.00
Space group Pmmm (No. 47)
Symmetry-distinct sites (fractional):
Mg 0.000 0.000 0.000 x1
Zn 0.000 0.000 0.500 x1
In 0.500 0.500 0.260 x2

Results
* size of the total moment: 0.000 μB/cell
* V: 84.5 Å³ per cell
* E above lowest polymorph: 0.016 eV per atom

---

[5]
MgZnIn4 | GGA-PBEsol | optimized geometry

Unit cell a=8.477 b=8.477 c=8.477 alpha=90.00 beta=90.00 gamma=90.00
Space group F-43m (No. 216)
Symmetry-distinct sites (fractional):
Mg 0.000 0.000 0.000 x4
Zn 0.250 0.250 0.250 x4
In 0.125 0.125 0.625 x16

Results
* size of the total moment: 0.001 μB/cell
* DFT total energy: -13.9 eV/f.u.
* V: 609.1 Å³ per cell

---

[6]
MgZnIn2 | GGA-PBEsol | optimized geometry

Unit cell a=4.332 b=4.332 c=8.972 alpha=90.00 beta=90.00 gamma=90.00
Space group I-4m2 (No. 119)
Symmetry-distinct sites (fractional):
Mg 0.000 0.000 0.000 x2
Zn 0.000 0.500 0.250 x2
In 0.000 0.000 0.500 x2
In 0.000 0.500 0.750 x2

Results
* size of the total moment: 0.000 μB/cell
* V: 168.4 Å³ per cell
* E above lowest polymorph: 0.009 eV per atom

---

[7]
MgZnIn2 | GGA-PBEsol | optimized geometry

Unit cell a=3.266 b=4.232 c=6.148 alpha=90.00 beta=90.00 gamma=90.00
Space group Pmm2 (No. 25)
Symmetry-distinct sites (fractional):
Mg 0.000 0.000 0.000 x1
Zn 0.500 0.500 0.233 x1
In 0.000 0.000 0.472 x1
In 0.500 0.500 0.751 x1

Results
* size of the total moment: 0.000 μB/cell
* V: 85.0 Å³ per cell
* E above lowest polymorph: 0.020 eV per atom

---

[8]
MgZnIn2 | GGA-PBEsol | optimized geometry

Unit cell a=4.448 b=4.448 c=4.242 alpha=90.00 beta=90.00 gamma=90.00
Space group P4/mmm (No. 123)
Symmetry-distinct sites (fractional):
Mg 0.000 0.000 0.000 x1
Zn 0.500 0.500 0.000 x1
In 0.000 0.500 0.500 x2

Results
* size of the total moment: 0.000 μB/cell
* V: 83.9 Å³ per cell
* E above lowest polymorph: 0.000 eV per atom

---

[9]
MgZnIn2 | GGA-PBEsol | optimized geometry

Unit cell a=3.3264 b=3.3264 c=26.9339 alpha=90.00 beta=90.00 gamma=120.00
Space group R-3m (No. 166, hexagonal axes)
Symmetry-distinct sites (fractional):
Mg 0.0000 0.0000 0.0000 x3
Zn 0.0000 0.0000 0.5000 x3
In 0.0000 0.0000 0.2445 x6

Results
* size of the total moment: 0.000 μB/cell
* V: 258.1 Å³ per cell
* E above lowest polymorph: 0.021 eV per atom

---

[10]
MgZnIn2 | GGA-PBEsol | optimized geometry

Unit cell a=9.931 b=3.273 c=5.313 alpha=90.00 beta=100.88 gamma=90.00
Space group Cm (No. 8)
Symmetry-distinct sites (fractional):
Mg 0.000 0.000 0.000 x2
Zn 0.238 0.500 0.236 x2
In 0.245 0.000 0.755 x2
In 0.484 0.000 0.472 x2

Results
* size of the total moment: 0.000 μB/cell
* V: 169.6 Å³ per cell
* E above lowest polymorph: 0.016 eV per atom

---

[11]
MgZnIn2 | GGA-PBEsol | optimized geometry

Unit cell a=3.188 b=3.188 c=8.382 alpha=90.00 beta=90.00 gamma=90.00
Space group P4mm (No. 99)
Symmetry-distinct sites (fractional):
Mg 0.000 0.000 0.000 x1
Zn 0.500 0.500 0.794 x1
In 0.000 0.000 0.562 x1
In 0.500 0.500 0.267 x1

Results
* size of the total moment: 0.000 μB/cell
* V: 85.2 Å³ per cell
* E above lowest polymorph: 0.010 eV per atom

---

[12]
MgZnIn2 | GGA-PBEsol | optimized geometry

Unit cell a=6.221 b=8.415 c=3.225 alpha=90.00 beta=90.00 gamma=90.00
Space group Cmmm (No. 65)
Symmetry-distinct sites (fractional):
Mg 0.000 0.000 0.000 x2
Zn 0.000 0.500 0.000 x2
In 0.250 0.250 0.500 x4

Results
* size of the total moment: 0.000 μB/cell
* V: 168.8 Å³ per cell
* E above lowest polymorph: 0.014 eV per atom